Nd4Bi2Rh | Alexandria | GGA-PBE | optimized geometry; space group = P2_1/m, No. 11; density = 8.51 g/cm³; size of the total moment = 0.000 μB/atom; DFT formation energy = -0.664 eV per atom
1.0
-1.997 -3.275 -5.944
-3.131 -4.823 3.710
-5.997 7.152 4.236
Bi Nd Rh
4 8 2
Cartesian
-6.742 4.085 2.776
-4.240 1.242 1.191
-6.886 -2.188 0.810
-4.384 -5.032 -0.775
-3.473 -2.104 0.538
-3.431 -2.797 -3.376
-5.194 -0.939 3.862
-7.695 1.850 5.377
-5.932 -0.007 -1.861
-7.653 1.157 1.463
-9.166 -1.173 3.255
-1.960 0.226 -1.254
-8.349 2.310 -0.888
-2.777 -3.257 2.889


NdBi3Rh3 | Alexandria | GGA-PBE | optimized geometry; space group = Pm-3n, No. 223; density = 8.98 g/cm³; size of the total moment = 0.000 μB/atom; DFT formation energy = 0.146 eV per atom
1.0
7.364 0.000 0.000
0.000 7.364 0.000
0.000 0.000 7.364
Nd Rh Bi
2 6 6
Cartesian
0.000 0.000 0.000
3.682 3.682 3.682
0.000 1.841 3.682
3.682 0.000 1.841
3.682 0.000 5.523
0.000 5.523 3.682
1.841 3.682 0.000
5.523 3.682 0.000
3.682 1.841 0.000
0.000 3.682 5.523
3.682 5.523 0.000
1.841 0.000 3.682
0.000 3.682 1.841
5.523 0.000 3.682


Nd4BiRh2 | Alexandria | GGA-PBE | optimized geometry; space group = I-42d, No. 122; density = 8.20 g/cm³; size of the total moment = 0.000 μB/atom; DFT formation energy = -0.585 eV per atom
1.0
-5.315 5.752 -1.868
-3.736 -6.557 2.808
4.953 2.801 5.700
Rh Nd Bi
4 8 2
Cartesian
-5.318 -2.266 2.345
1.532 0.723 4.275
-3.367 1.475 2.130
-1.044 4.062 4.529
-6.029 0.733 1.838
-0.787 2.467 1.854
-3.769 3.818 4.048
-1.067 5.954 2.132
-2.772 -1.469 1.569
1.706 3.735 4.755
-1.102 0.995 5.116
-4.151 4.064 0.569
-0.001 0.000 0.000
-1.653 -2.079 4.489


NdBi2Rh2 | Alexandria | GGA-PBE | optimized geometry; space group = P2_1/m, No. 11; density = 10.70 g/cm³; size of the total moment = 0.000 μB/atom; DFT formation energy = -0.453 eV per atom
1.0
-0.323 -3.063 -3.522
2.302 -3.329 2.684
-9.394 -3.076 3.535
Nd Bi Rh
2 4 4
Cartesian
-6.788 -5.570 0.803
-0.626 -3.898 1.893
-6.497 -6.130 4.371
-4.254 -3.148 1.573
-3.160 -6.319 1.123
-0.917 -3.338 -1.675
-3.175 -4.247 -0.677
-8.745 -4.880 3.490
-4.239 -5.220 3.374
1.331 -4.588 -0.794


Nd12BiRh6 | Alexandria | GGA-PBE | optimized geometry; space group = Im-3, No. 204; density = 7.85 g/cm³; size of the total moment = 0.000 μB/atom; DFT formation energy = -0.557 eV per atom
1.0
8.384 0.000 -2.964
-4.192 7.260 -2.964
0.000 0.000 8.892
Rh Nd Bi
6 12 1
Cartesian
0.994 3.630 5.149
3.641 0.955 3.744
5.737 2.676 0.779
-1.545 4.585 2.185
3.198 3.630 -2.185
0.551 6.306 -0.779
5.532 2.232 -2.247
3.685 3.675 3.681
2.122 6.382 -3.000
0.507 3.586 -0.717
0.833 5.907 2.247
-2.396 5.907 -0.036
6.588 1.354 3.000
3.917 5.028 0.036
0.274 2.232 2.928
2.070 0.878 5.964
-1.340 5.028 5.211
3.359 1.354 0.717
0.000 0.000 0.000


Nd2BiRh2 | Alexandria | GGA-PBE | optimized geometry; space group = Immm, No. 71; density = 9.85 g/cm³; size of the total moment = 0.000 μB/atom; DFT formation energy = -0.703 eV per atom
1.0
4.215 0.000 1.889
1.400 4.920 2.522
-0.026 0.004 5.704
Rh Nd Bi
2 2 1
Cartesian
2.482 1.383 5.756
3.108 3.541 4.360
1.273 1.447 2.807
4.317 3.477 7.308
0.000 0.000 0.000